[1]
The following is a DFT calculation (PBE+U) of an optimized crystal structure of Li2VGa3O8.

Properties
**Crystal system**: triclinic
**Total energy**: -6.181 eV/atom
**Calculated density**: 3.492 g/cm³

a = 5.2263 Å, b = 5.5085 Å, c = 6.6414 Å
α = 89.77°, β = 89.52°, γ = 89.50°
Last column: nearest neighbours and their distance in Å.
Space group P1 (No. 1)
Unique sites:
Li: 0.0000 0.0000 0.0000 [1 per cell]  4 O 1.96-2.14
Li: 0.4908 0.6700 0.5019 [1 per cell]  3 O 1.94-2.14
V: 0.4971 0.6491 0.9984 [1 per cell]  4 O 1.74-1.77
Ga: 0.0108 0.4825 0.7317 [1 per cell]  4 O 1.80-1.95
Ga: 0.4759 0.1395 0.2649 [1 per cell]  4 O 1.81-1.95
Ga: 0.9889 0.9882 0.5002 [1 per cell]  4 O 1.86-1.88
O: 0.0598 0.1590 0.7380 [1 per cell]  2 Ga 1.80-1.88, 1 Li 1.97
O: 0.1193 0.6736 0.5276 [1 per cell]  2 Ga 1.80-1.87, 1 Li 1.95
O: 0.1312 0.1045 0.2608 [1 per cell]  2 Ga 1.81-1.86, 1 Li 1.96
O: 0.1683 0.6479 0.9574 [1 per cell]  1 V 1.74, 1 Ga 1.95
O: 0.5651 0.4663 0.2106 [1 per cell]  1 V 1.77, 1 Ga 1.90
O: 0.6062 0.9418 0.0430 [1 per cell]  1 V 1.74, 1 Ga 1.95
O: 0.6357 0.9905 0.4729 [1 per cell]  2 Ga 1.81-1.86, 1 Li 1.94
O: 0.6507 0.5469 0.7796 [1 per cell]  1 V 1.75, 1 Ga 1.94



[2]
The following is a DFT calculation (PBE+U) of an optimized crystal structure of Li2VGa2O6.

Properties
**Crystal system**: monoclinic
**Total energy**: -6.192 eV/atom
**Calculated density**: 4.458 g/cm³

a = 5.1726 Å, b = 8.7491 Å, c = 5.2551 Å
α = 90.00°, β = 109.84°, γ = 90.00°
Last column: nearest neighbours and their distance in Å.
Space group C2/m (No. 12)
Unique sites:
Li: 0.0000 0.1722 0.0000 [4 per cell]  6 O 2.17-2.22
V: 0.0000 0.0000 0.5000 [2 per cell]  6 O 1.97-1.98
Ga: 0.0000 0.3352 0.5000 [4 per cell]  6 O 2.00-2.07
O: 0.2323 0.1664 0.7168 [8 per cell]  1 V 1.98, 2 Ga 2.00-2.07, 2 Li 2.17-2.21
O: 0.2490 0.5000 0.7102 [4 per cell]  1 V 1.97, 2 Ga 2.00



[3]
The following is a DFT calculation (PBE+U) of an optimized crystal structure of Li16V3Ga13O32.

Properties
**Crystal system**: triclinic
**Total energy**: -5.935 eV/atom
**Calculated density**: 3.838 g/cm³

a = 5.5131 Å, b = 6.4858 Å, c = 20.3545 Å
α = 89.98°, β = 89.99°, γ = 89.99°
Last column: nearest neighbours and their distance in Å.
Space group P1 (No. 1)
Unique sites:
Li: 0.0000 0.0000 0.0000 [1 per cell]  4 O 2.01-2.03
Li: 0.0001 0.0021 0.4988 [1 per cell]  4 O 1.98-2.02
Li: 0.0043 0.0008 0.7507 [1 per cell]  4 O 2.00-2.02
Li: 0.3331 0.4962 0.8754 [1 per cell]  4 O 2.01-2.02
Li: 0.3348 0.4994 0.3754 [1 per cell]  4 O 2.01-2.03
Li: 0.3358 0.5016 0.1240 [1 per cell]  4 O 1.97-2.03
Li: 0.3400 0.4993 0.6250 [1 per cell]  4 O 2.00-2.05
Li: 0.4998 0.2485 0.7498 [1 per cell]  4 O 1.97-2.01
Li: 0.5025 0.2508 0.0000 [1 per cell]  4 O 2.00-2.03
Li: 0.5017 0.2529 0.2503 [1 per cell]  4 O 2.01-2.02
Li: 0.5034 0.2496 0.4993 [1 per cell]  4 O 2.00-2.03
Li: 0.8314 0.7489 0.1246 [1 per cell]  4 O 2.00-2.03
Li: 0.8330 0.7534 0.6258 [1 per cell]  4 O 2.02-2.03
Li: 0.8346 0.7498 0.3745 [1 per cell]  4 O 2.00-2.04
Li: 0.8418 0.7511 0.8751 [1 per cell]  4 O 2.00-2.04
Li: 0.9956 0.9975 0.2501 [1 per cell]  4 O 2.00-2.05
V: 0.0021 0.5048 0.5006 [1 per cell]  4 O 1.93-1.94
V: 0.3330 0.0036 0.1249 [1 per cell]  4 O 1.93-1.95
V: 0.5023 0.7464 0.7511 [1 per cell]  4 O 1.93-1.95
Ga: 0.0013 0.4956 0.7482 [1 per cell]  4 O 1.86-1.89
Ga: 0.0005 0.5012 0.2490 [1 per cell]  4 O 1.87-1.88
Ga: 0.3346 0.0019 0.6235 [1 per cell]  4 O 1.87-1.88
Ga: 0.3356 0.0057 0.8747 [1 per cell]  4 O 1.87-1.88
Ga: 0.3369 0.0014 0.3725 [1 per cell]  4 O 1.87-1.89
Ga: 0.4995 0.7481 0.9968 [1 per cell]  4 O 1.87-1.89
Ga: 0.5006 0.7442 0.2489 [1 per cell]  4 O 1.87-1.88
Ga: 0.5008 0.7555 0.4990 [1 per cell]  4 O 1.86-1.88
Ga: 0.8343 0.2441 0.6241 [1 per cell]  4 O 1.87-1.88
Ga: 0.8346 0.2540 0.1244 [1 per cell]  4 O 1.86-1.88
Ga: 0.8360 0.2492 0.8738 [1 per cell]  4 O 1.87-1.88
Ga: 0.8369 0.2482 0.3728 [1 per cell]  4 O 1.87-1.88
Ga: 0.9991 0.5016 0.9986 [1 per cell]  4 O 1.87-1.88
O: 0.0109 0.0154 0.9011 [1 per cell]  2 Ga 1.87-1.88, 2 Li 2.02
O: 0.0123 0.0135 0.3994 [1 per cell]  2 Ga 1.87-1.88, 2 Li 2.02-2.04
O: 0.0119 0.0131 0.6519 [1 per cell]  2 Ga 1.87-1.88, 2 Li 2.01-2.02
O: 0.3224 0.5033 0.7762 [1 per cell]  1 Ga 1.86, 1 V 1.93, 2 Li 1.99-2.02
O: 0.3236 0.5127 0.2768 [1 per cell]  2 Ga 1.87-1.88, 2 Li 2.01-2.02
O: 0.3245 0.5145 0.0246 [1 per cell]  2 Ga 1.87-1.88, 2 Li 2.03
O: 0.3390 0.5154 0.5260 [1 per cell]  1 Ga 1.88, 1 V 1.93, 2 Li 2.02
O: 0.3438 0.9906 0.5311 [1 per cell]  2 Ga 1.87-1.88, 2 Li 2.00-2.01
O: 0.3469 0.9941 0.7827 [1 per cell]  1 Ga 1.87, 1 V 1.93, 2 Li 1.97-2.00
O: 0.3498 0.9853 0.2800 [1 per cell]  2 Ga 1.88-1.89, 2 Li 2.02-2.05
O: 0.3505 0.9854 0.0294 [1 per cell]  1 Ga 1.87, 1 V 1.95, 2 Li 2.01-2.03
O: 0.4847 0.7647 0.6557 [1 per cell]  1 Ga 1.87, 1 V 1.95, 2 Li 2.00-2.02
O: 0.4858 0.7648 0.4065 [1 per cell]  2 Ga 1.87-1.88, 2 Li 2.02-2.03
O: 0.4874 0.7630 0.9042 [1 per cell]  2 Ga 1.88-1.89, 2 Li 2.02-2.04
O: 0.4889 0.7561 0.1570 [1 per cell]  1 Ga 1.87, 1 V 1.93, 2 Li 1.97-2.00
O: 0.5103 0.2352 0.6511 [1 per cell]  2 Ga 1.87-1.88, 2 Li 2.01-2.02
O: 0.5121 0.2351 0.3997 [1 per cell]  2 Ga 1.87-1.88, 2 Li 2.03
O: 0.5119 0.2463 0.1512 [1 per cell]  1 Ga 1.86, 1 V 1.93, 2 Li 2.00-2.02
O: 0.5131 0.2376 0.9017 [1 per cell]  2 Ga 1.87-1.88, 2 Li 2.00-2.02
O: 0.8231 0.7360 0.0248 [1 per cell]  2 Ga 1.87-1.88, 2 Li 2.03
O: 0.8228 0.7474 0.5264 [1 per cell]  1 Ga 1.86, 1 V 1.93, 2 Li 2.00-2.02
O: 0.8243 0.7344 0.2761 [1 per cell]  2 Ga 1.87-1.88, 2 Li 2.01-2.02
O: 0.8398 0.7346 0.7760 [1 per cell]  1 Ga 1.88, 1 V 1.93, 2 Li 2.02
O: 0.8450 0.2615 0.7815 [1 per cell]  2 Ga 1.87-1.88, 2 Li 2.01
O: 0.8463 0.2567 0.5321 [1 per cell]  1 Ga 1.87, 1 V 1.93, 2 Li 1.98-2.01
O: 0.8493 0.2625 0.2807 [1 per cell]  2 Ga 1.87-1.88, 2 Li 2.00-2.01
O: 0.8507 0.2644 0.0321 [1 per cell]  2 Ga 1.87-1.88, 2 Li 2.01-2.03
O: 0.9854 0.4846 0.6555 [1 per cell]  2 Ga 1.88-1.89, 2 Li 2.03-2.05
O: 0.9850 0.4856 0.4054 [1 per cell]  1 Ga 1.87, 1 V 1.94, 2 Li 2.00-2.02
O: 0.9865 0.4864 0.9065 [1 per cell]  2 Ga 1.87-1.88, 2 Li 2.00-2.01
O: 0.9911 0.4892 0.1566 [1 per cell]  2 Ga 1.87-1.88, 2 Li 2.01
O: 0.9966 0.0139 0.1512 [1 per cell]  1 Ga 1.87, 1 V 1.93, 2 Li 2.02



[4]
The following is a DFT calculation (PBE+U) of an optimized crystal structure of LiVGa2O6.

Properties
**Crystal system**: trigonal
**Total energy**: -6.353 eV/atom
**Calculated density**: 4.835 g/cm³

a = 5.0345 Å, b = 5.0345 Å, c = 13.7672 Å
α = 90.00°, β = 90.00°, γ = 120.00°
Last column: nearest neighbours and their distance in Å.
Space group R3 (No. 146, hexagonal axes)
Unique sites:
Li: 0.0000 0.0000 0.0000 [3 per cell]  3 O 1.98
V: 0.0000 0.0000 0.4864 [3 per cell]  6 O 1.82-2.03
Ga: 0.0000 0.0000 0.2826 [3 per cell]  6 O 2.02
Ga: 0.0000 0.0000 0.7700 [3 per cell]  3 O 1.89
O: 0.0009 0.3475 0.2095 [9 per cell]  1 V 1.82, 1 Ga 2.02
O: 0.0144 0.7176 0.3839 [9 per cell]  2 Ga 1.89-2.02, 1 Li 1.98, 1 V 2.03



[5]
The following is a DFT calculation (PBE+U) of an optimized crystal structure of Li2VGa3O8.

Properties
**Crystal system**: triclinic
**Total energy**: -6.182 eV/atom
**Calculated density**: 3.485 g/cm³

a = 5.2294 Å, b = 5.4523 Å, c = 6.7183 Å
α = 90.16°, β = 90.43°, γ = 90.22°
Last column: nearest neighbours and their distance in Å.
Space group P1 (No. 1)
Unique sites:
Li: 0.0000 0.0000 0.0000 [1 per cell]  3 O 1.94-2.10
Li: 0.4891 0.6618 0.4889 [1 per cell]  2 O 1.93-1.95
V: 0.4972 0.1576 0.7432 [1 per cell]  4 O 1.74-1.76
Ga: 0.0079 0.9994 0.4710 [1 per cell]  4 O 1.81-1.94
Ga: 0.4776 0.6595 0.0112 [1 per cell]  4 O 1.80-1.95
Ga: 0.9911 0.5130 0.2429 [1 per cell]  4 O 1.84-1.87
O: 0.0601 0.1820 0.2499 [1 per cell]  2 Ga 1.81-1.84, 1 Li 1.97
O: 0.1190 0.6845 0.4638 [1 per cell]  2 Ga 1.82-1.87, 1 Li 1.95
O: 0.1317 0.6683 0.0218 [1 per cell]  2 Ga 1.81-1.87, 1 Li 1.94
O: 0.1676 0.1121 0.7167 [1 per cell]  1 V 1.75, 1 Ga 1.94
O: 0.5650 0.4708 0.7756 [1 per cell]  1 V 1.76, 1 Ga 1.94
O: 0.6037 0.9853 0.9454 [1 per cell]  1 V 1.74, 1 Ga 1.95
O: 0.6428 0.5768 0.2379 [1 per cell]  2 Ga 1.80-1.86, 1 Li 1.93
O: 0.6500 0.0292 0.5387 [1 per cell]  1 V 1.74, 1 Ga 1.94



[6]
The following is a DFT calculation (PBE+U) of an optimized crystal structure of LiGaWO2.

Properties
**Crystal system**: tetragonal
**Total energy**: -3.857 eV/atom
**Calculated density**: 7.643 g/cm³

a = 3.7777 Å, b = 3.7777 Å, c = 4.4531 Å
α = 90.00°, β = 90.00°, γ = 90.00°
Last column: nearest neighbours and their distance in Å.
Space group P4/mmm (No. 123)
Unique sites:
Li: 0.0000 0.0000 0.0000 [1 per cell]  4 O 1.89
Ga: 0.5000 0.5000 0.5000 [1 per cell]  4 W 2.67, 8 O 2.92
W: 0.0000 0.0000 0.5000 [1 per cell]  2 Li 2.23
O: 0.0000 0.5000 0.0000 [2 per cell]  2 Li 1.89